P) # NaNCl3 PBE optimized geometry
# Magnetization: 0.400 μB/atom
# ρ: 1.73 g cm⁻³
# V: 27.57 A^3/atom
data_NaNCl3
_cell_length_a 5.0930
_cell_length_b 5.5976
_cell_length_c 10.1634
_cell_angle_alpha 103.52
_cell_angle_beta 100.90
_cell_angle_gamma 91.82
_symmetry_space_group_name_H-M 'P 1'
_symmetry_Int_Tables_number 1
loop_
_symmetry_equiv_pos_as_xyz
'x,y,z'
loop_
_atom_site_label
_atom_site_fract_x
_atom_site_fract_y
_atom_site_fract_z
Na1 0.0000 0.0000 0.0000
Na2 0.4900 0.4750 0.9247
N1 0.6746 0.3814 0.7042
N2 0.8181 0.0941 0.2214
Cl1 0.0394 0.5210 0.0432
Cl2 0.1882 0.6850 0.3547
Cl3 0.3004 0.7873 0.5669
Cl4 0.4509 0.9544 0.8822
Cl5 0.5835 0.2302 0.2843
Cl6 0.9075 0.2413 0.6418

Q) # NaNCl3 PBE optimized geometry
# Magnetization: 0.000 μB/atom
# ρ: 2.58 g cm⁻³
# V: 18.48 A^3/atom
data_NaNCl3
_cell_length_a 4.5206
_cell_length_b 4.5206
_cell_length_c 4.5206
_cell_angle_alpha 90.00
_cell_angle_beta 90.00
_cell_angle_gamma 90.00
_symmetry_space_group_name_H-M 'P m -3 m'
_symmetry_Int_Tables_number 221
_symmetry_space_group_name_Hall '-P 4 2 3'
loop_
_atom_site_label
_atom_site_fract_x
_atom_site_fract_y
_atom_site_fract_z
Na1 0.0000 0.0000 0.0000
N1 0.5000 0.5000 0.5000
Cl1 0.0000 0.5000 0.5000

Going by the energies, P) is most stable and the next is 278 meV/atom up.

P) # NaNCl2 PBE optimized geometry
# Magnetization: 0.500 μB/atom
# ρ: 2.21 g cm⁻³
# V: 20.31 A^3/atom
data_NaNCl2
_cell_length_a 6.8746
_cell_length_b 6.8746
_cell_length_c 6.8746
_cell_angle_alpha 90.00
_cell_angle_beta 90.00
_cell_angle_gamma 90.00
_symmetry_space_group_name_H-M 'F m -3 m'
_symmetry_Int_Tables_number 225
_symmetry_space_group_name_Hall '-F 4 2 3'
loop_
_atom_site_label
_atom_site_fract_x
_atom_site_fract_y
_atom_site_fract_z
Na1 0.0000 0.0000 0.0000
N1 0.0000 0.0000 0.5000
Cl1 0.2500 0.2500 0.2500

Q) # NaNCl2 PBE optimized geometry
# Magnetization: 0.036 μB/atom
# ρ: 1.75 g cm⁻³
# V: 25.59 A^3/atom
data_NaNCl2
_cell_length_a 16.6101
_cell_length_b 3.2931
_cell_length_c 7.9239
_cell_angle_alpha 90.00
_cell_angle_beta 109.17
_cell_angle_gamma 90.00
_symmetry_space_group_name_H-M 'C 1 2/m 1'
_symmetry_Int_Tables_number 12
loop_
_symmetry_equiv_pos_as_xyz
'x,y,z'
'-x,-y,-z'
'-x,y,-z'
'x,-y,z'
'x+1/2,y+1/2,z'
'-x+1/2,-y+1/2,-z'
'-x+1/2,y+1/2,-z'
'x+1/2,-y+1/2,z'
loop_
_atom_site_label
_atom_site_fract_x
_atom_site_fract_y
_atom_site_fract_z
Na1 0.0593 0.0000 0.3984
N1 0.1633 0.0000 0.2412
Cl1 0.0844 0.5000 0.6971
Cl2 0.1932 0.5000 0.1891

R) # NaNCl2 PBE optimized geometry
# Magnetization: 0.500 μB/atom
# ρ: 1.63 g cm⁻³
# V: 27.54 A^3/atom
data_NaNCl2
_cell_length_a 4.1208
_cell_length_b 4.1208
_cell_length_c 22.4749
_cell_angle_alpha 90.00
_cell_angle_beta 90.00
_cell_angle_gamma 120.00
_symmetry_space_group_name_H-M 'R -3 m'
_symmetry_Int_Tables_number 166
_symmetry_space_group_name_Hall '-R 3 2"'
loop_
_atom_site_label
_atom_site_fract_x
_atom_site_fract_y
_atom_site_fract_z
Na1 0.0000 0.0000 0.0000
N1 0.0000 0.0000 0.5000
Cl1 0.0000 0.0000 0.1108

Going by the energies, Q) is most stable and the next is 466 meV/atom up.

P) # NaNCl2 PBE optimized geometry
# Magnetization: 0.500 μB/atom
# ρ: 1.58 g cm⁻³
# V: 28.41 A^3/atom
data_NaNCl2
_cell_length_a 4.3355
_cell_length_b 4.3355
_cell_length_c 20.9418
_cell_angle_alpha 90.00
_cell_angle_beta 90.00
_cell_angle_gamma 120.00
_symmetry_space_group_name_H-M 'R -3 m'
_symmetry_Int_Tables_number 166
_symmetry_space_group_name_Hall '-R 3 2"'
loop_
_atom_site_label
_atom_site_fract_x
_atom_site_fract_y
_atom_site_fract_z
Na1 0.0000 0.0000 0.0000
N1 0.0000 0.0000 0.5000
Cl1 0.0000 0.0000 0.3999

Q) # NaNCl2 PBE optimized geometry
# Magnetization: 0.000 μB/atom
# ρ: 1.96 g cm⁻³
# V: 22.91 A^3/atom
data_NaNCl2
_cell_length_a 5.4609
_cell_length_b 5.4609
_cell_length_c 12.2908
_cell_angle_alpha 90.00
_cell_angle_beta 90.00
_cell_angle_gamma 90.00
_symmetry_space_group_name_H-M 'I -4 2 d'
_symmetry_Int_Tables_number 122
_symmetry_space_group_name_Hall 'I -4 2bw'
loop_
_atom_site_label
_atom_site_fract_x
_atom_site_fract_y
_atom_site_fract_z
Na1 0.0000 0.0000 0.0000
N1 0.0000 0.0000 0.5000
Cl1 0.1215 0.2500 0.6250

Going by the energies, P) is most stable and the next is 168 meV/atom up.

P) # NaP2NCl PBE optimized geometry
# Magnetization: 0.128 μB/atom
# ρ: 1.96 g cm⁻³
# V: 22.78 A^3/atom
data_NaP2NCl
_cell_length_a 3.8069
_cell_length_b 3.8069
_cell_length_c 7.8594
_cell_angle_alpha 90.00
_cell_angle_beta 90.00
_cell_angle_gamma 90.00
_symmetry_space_group_name_H-M 'P 4/m m m'
_symmetry_Int_Tables_number 123
_symmetry_space_group_name_Hall '-P 4 2'
loop_
_atom_site_label
_atom_site_fract_x
_atom_site_fract_y
_atom_site_fract_z
Na1 0.0000 0.0000 0.0000
P1 0.0000 0.5000 0.5000
N1 0.5000 0.5000 0.5000
Cl1 0.5000 0.5000 0.0000

Q) # NaP2NCl PBE optimized geometry
# Magnetization: 0.195 μB/atom
# ρ: 1.63 g cm⁻³
# V: 27.45 A^3/atom
data_NaP2NCl
_cell_length_a 5.1862
_cell_length_b 5.1862
_cell_length_c 5.1030
_cell_angle_alpha 90.00
_cell_angle_beta 90.00
_cell_angle_gamma 90.00
_symmetry_space_group_name_H-M 'P 4/m m m'
_symmetry_Int_Tables_number 123
_symmetry_space_group_name_Hall '-P 4 2'
loop_
_atom_site_label
_atom_site_fract_x
_atom_site_fract_y
_atom_site_fract_z
Na1 0.0000 0.0000 0.0000
P1 0.0000 0.5000 0.0000
N1 0.5000 0.5000 0.5000
Cl1 0.0000 0.0000 0.5000

Going by the energies, P) is most stable and the next is 1709 meV/atom up.

P) # NaZr2SN2Cl PBE optimized geometry
# Magnetization: 0.000 μB/atom
# ρ: 4.19 g cm⁻³
# V: 17.04 A^3/atom
data_NaZr2SN2Cl
_cell_length_a 3.6882
_cell_length_b 3.6882
_cell_length_c 30.3706
_cell_angle_alpha 90.00
_cell_angle_beta 90.00
_cell_angle_gamma 120.00
_symmetry_space_group_name_H-M 'R 3 m'
_symmetry_Int_Tables_number 160
_symmetry_space_group_name_Hall 'R 3 -2"'
loop_
_atom_site_label
_atom_site_fract_x
_atom_site_fract_y
_atom_site_fract_z
Na1 0.0000 0.0000 0.0000
Zr1 0.0000 0.0000 0.1997
Zr2 0.0000 0.0000 0.7802
S1 0.0000 0.0000 0.3905
N1 0.0000 0.0000 0.1317
N2 0.0000 0.0000 0.8570
Cl1 0.0000 0.0000 0.6025

Q) # NaZr2SN2Cl PBE optimized geometry
# Magnetization: 0.000 μB/atom
# ρ: 4.22 g cm⁻³
# V: 16.92 A^3/atom
data_NaZr2SN2Cl
_cell_length_a 10.2379
_cell_length_b 7.3626
_cell_length_c 6.4203
_cell_angle_alpha 90.00
_cell_angle_beta 101.72
_cell_angle_gamma 90.00
_symmetry_space_group_name_H-M 'P 1 21/c 1'
_symmetry_Int_Tables_number 14
loop_
_symmetry_equiv_pos_as_xyz
'x,y,z'
'-x,-y,-z'
'-x,y+1/2,-z+1/2'
'x,-y+1/2,z+1/2'
loop_
_atom_site_label
_atom_site_fract_x
_atom_site_fract_y
_atom_site_fract_z
Na1 0.0089 0.1241 0.2636
Zr1 0.3685 0.1336 0.0268
Zr2 0.3740 0.6189 0.0556
S1 0.1930 0.1232 0.6476
N1 0.4120 0.6340 0.4035
N2 0.4129 0.1134 0.3716
Cl1 0.1696 0.6307 0.6348

Going by the energies, Q) is most stable and the next is 15 meV/atom up.

P) # NaTe2NCl PBE optimized geometry
# Magnetization: 0.162 μB/atom
# ρ: 3.75 g cm⁻³
# V: 29.05 A^3/atom
data_NaTe2NCl
_cell_length_a 5.6643
_cell_length_b 5.6643
_cell_length_c 4.5273
_cell_angle_alpha 90.00
_cell_angle_beta 90.00
_cell_angle_gamma 90.00
_symmetry_space_group_name_H-M 'P 4/m m m'
_symmetry_Int_Tables_number 123
_symmetry_space_group_name_Hall '-P 4 2'
loop_
_atom_site_label
_atom_site_fract_x
_atom_site_fract_y
_atom_site_fract_z
Na1 0.0000 0.0000 0.0000
Te1 0.0000 0.5000 0.0000
N1 0.0000 0.0000 0.5000
Cl1 0.5000 0.5000 0.5000

Q) # NaTe2NCl PBE optimized geometry
# Magnetization: 0.000 μB/atom
# ρ: 4.02 g cm⁻³
# V: 27.05 A^3/atom
data_NaTe2NCl
_cell_length_a 6.3978
_cell_length_b 6.3978
_cell_length_c 3.3044
_cell_angle_alpha 90.00
_cell_angle_beta 90.00
_cell_angle_gamma 90.00
_symmetry_space_group_name_H-M 'P 4/m m m'
_symmetry_Int_Tables_number 123
_symmetry_space_group_name_Hall '-P 4 2'
loop_
_atom_site_label
_atom_site_fract_x
_atom_site_fract_y
_atom_site_fract_z
Na1 0.0000 0.0000 0.0000
Te1 0.0000 0.5000 0.5000
N1 0.5000 0.5000 0.0000
Cl1 0.5000 0.5000 0.5000

Going by the energies, Q) is most stable and the next is 370 meV/atom up.

P) # NbN2Cl4 PBE optimized geometry
# Magnetization: 0.855 μB/atom
# ρ: 1.87 g cm⁻³
# V: 33.26 A^3/atom
data_NbN2Cl4
_cell_length_a 14.0294
_cell_length_b 3.3947
_cell_length_c 11.6904
_cell_angle_alpha 90.00
_cell_angle_beta 123.25
_cell_angle_gamma 90.00
_symmetry_space_group_name_H-M 'C 1 2/m 1'
_symmetry_Int_Tables_number 12
loop_
_symmetry_equiv_pos_as_xyz
'x,y,z'
'-x,-y,-z'
'-x,y,-z'
'x,-y,z'
'x+1/2,y+1/2,z'
'-x+1/2,-y+1/2,-z'
'-x+1/2,y+1/2,-z'
'x+1/2,-y+1/2,z'
loop_
_atom_site_label
_atom_site_fract_x
_atom_site_fract_y
_atom_site_fract_z
Nb1 0.0000 0.0000 0.0000
N1 0.1601 0.0000 0.5850
Cl1 0.0553 0.0000 0.2269
Cl2 0.1511 0.5000 0.0553

Q) # NbN2Cl4 PBE optimized geometry
# Magnetization: 0.935 μB/atom
# ρ: 2.06 g cm⁻³
# V: 30.29 A^3/atom
data_NbN2Cl4
_cell_length_a 4.9454
_cell_length_b 4.9454
_cell_length_c 17.3376
_cell_angle_alpha 90.00
_cell_angle_beta 90.00
_cell_angle_gamma 90.00
_symmetry_space_group_name_H-M 'I 4/m m m'
_symmetry_Int_Tables_number 139
_symmetry_space_group_name_Hall '-I 4 2'
loop_
_atom_site_label
_atom_site_fract_x
_atom_site_fract_y
_atom_site_fract_z
Nb1 0.0000 0.0000 0.0000
N1 0.0000 0.0000 0.3315
Cl1 0.0000 0.0000 0.1345
Cl2 0.0000 0.5000 0.0000

Going by the energies, P) is most stable and the next is 93 meV/atom up.

P) # NbS2NCl PBE optimized geometry
# Magnetization: 0.241 μB/atom
# ρ: 4.44 g cm⁻³
# V: 15.43 A^3/atom
data_NbS2NCl
_cell_length_a 4.8046
_cell_length_b 4.8046
_cell_length_c 3.3418
_cell_angle_alpha 90.00
_cell_angle_beta 90.00
_cell_angle_gamma 90.00
_symmetry_space_group_name_H-M 'P 4/m m m'
_symmetry_Int_Tables_number 123
_symmetry_space_group_name_Hall '-P 4 2'
loop_
_atom_site_label
_atom_site_fract_x
_atom_site_fract_y
_atom_site_fract_z
Nb1 0.0000 0.0000 0.0000
S1 0.0000 0.5000 0.5000
N1 0.5000 0.5000 0.0000
Cl1 0.5000 0.5000 0.5000

Q) # NbS2NCl PBE optimized geometry
# Magnetization: 0.000 μB/atom
# ρ: 4.77 g cm⁻³
# V: 14.38 A^3/atom
data_NbS2NCl
_cell_length_a 4.2210
_cell_length_b 4.2210
_cell_length_c 4.0348
_cell_angle_alpha 90.00
_cell_angle_beta 90.00
_cell_angle_gamma 90.00
_symmetry_space_group_name_H-M 'P 4/m m m'
_symmetry_Int_Tables_number 123
_symmetry_space_group_name_Hall '-P 4 2'
loop_
_atom_site_label
_atom_site_fract_x
_atom_site_fract_y
_atom_site_fract_z
Nb1 0.0000 0.0000 0.0000
S1 0.0000 0.5000 0.5000
N1 0.5000 0.5000 0.5000
Cl1 0.5000 0.5000 0.0000

R) # NbS2NCl PBE optimized geometry
# Magnetization: 0.057 μB/atom
# ρ: 3.55 g cm⁻³
# V: 19.31 A^3/atom
data_NbS2NCl
_cell_length_a 4.9117
_cell_length_b 4.9117
_cell_length_c 4.0020
_cell_angle_alpha 90.00
_cell_angle_beta 90.00
_cell_angle_gamma 90.00
_symmetry_space_group_name_H-M 'P 4/m m m'
_symmetry_Int_Tables_number 123
_symmetry_space_group_name_Hall '-P 4 2'
loop_
_atom_site_label
_atom_site_fract_x
_atom_site_fract_y
_atom_site_fract_z
Nb1 0.0000 0.0000 0.0000
S1 0.0000 0.5000 0.0000
N1 0.0000 0.0000 0.5000
Cl1 0.5000 0.5000 0.5000

Going by the energies, R) is most stable and the next is 671 meV/atom up.